1.
Pr3Sm2NpN6 | GGA-PBE | optimized geometry

abc: 6.2045 6.2045 6.2451
angles: 99.55 99.55 119.93
Closest atoms and distances in Å follow each position.
Atoms (fractional coordinates):
N (0.9261, 0.6228, 0.7785)  1 Np 2.29, 2 Sm 2.53
Pr (0.1676, 0.8324, 0.5000)  6 N 2.56-2.78
Sm (0.3337, 0.6663, 0.0000)  6 N 2.53-2.54
N (0.6228, 0.9261, 0.7785)  1 Np 2.29, 2 Sm 2.53
Np (0.0000, 0.0000, 0.0000)  6 N 2.29-2.32
Pr (0.5000, 0.5000, 0.5000)  6 N 2.57-2.76
N (0.2297, 0.2297, 0.7731)  1 Np 2.32, 2 Sm 2.54, 2 Pr 2.56
N (0.0739, 0.3772, 0.2215)  1 Np 2.29, 2 Sm 2.53
N (0.3772, 0.0739, 0.2215)  1 Np 2.29, 2 Sm 2.53
N (0.7703, 0.7703, 0.2269)  1 Np 2.32, 2 Sm 2.54, 2 Pr 2.56
Pr (0.8324, 0.1676, 0.5000)  6 N 2.56-2.78
Sm (0.6663, 0.3337, 0.0000)  6 N 2.53-2.54

Properties
The calculated density is 8.823 g/cm3. The calculation puts the uncorrected formation energy at -1.365 eV/atom.



2.
Rb4TeF2 | GGA-PBE | optimized geometry

abc: 6.8848 6.8848 9.5757
angles: 68.93 68.93 90.00
Closest atoms and distances in Å follow each position.
Atoms (fractional coordinates):
Rb (0.5000, 0.0000, 0.0000)  2 Te 3.44
Rb (0.0000, 0.5000, 0.0000)  2 Te 3.44
Rb (0.7875, 0.7875, 0.4249)  1 F 2.47
Te (0.0000, 0.0000, 0.0000)  6 Rb 3.44-3.50
F (0.3621, 0.3621, 0.2759)  1 Rb 2.47
F (0.6379, 0.6379, 0.7241)  1 Rb 2.47
Rb (0.2125, 0.2125, 0.5751)  1 F 2.47

Properties
The calculated density is 2.156 g/cm3. The calculation puts the uncorrected formation energy at -1.552 eV/atom. Its distance to the lowest polymorph of the same formula is 321 meV per atom.



3.
Na4NdTl15 | GGA-PBE | optimized geometry

abc: 4.8374 4.8374 24.6329
angles: 90.00 90.00 90.00
Closest atoms and distances in Å follow each position.
Atoms (fractional coordinates):
Tl (0.0000, 0.5000, 0.5000)  8 Tl 3.42-3.44, 4 Na 3.45
Na (0.0000, 0.0000, 0.8033)  12 Tl 3.40-3.51
Na (0.0000, 0.0000, 0.5998)  12 Tl 3.42-3.46
Tl (0.0000, 0.5000, 0.7002)  8 Tl 3.42-3.51, 4 Na 3.46-3.51
Tl (0.5000, 0.5000, 0.8035)  8 Tl 3.40-3.51, 4 Na 3.42
Tl (0.0000, 0.5000, 0.9004)  8 Tl 3.40-3.44, 2 Na 3.40, 2 Nd 3.44
Nd (0.0000, 0.0000, 0.0000)  12 Tl 3.42-3.44
Tl (0.0000, 0.5000, 0.2998)  8 Tl 3.42-3.51, 4 Na 3.46-3.51
Tl (0.5000, 0.0000, 0.5000)  8 Tl 3.42-3.44, 4 Na 3.45
Tl (0.5000, 0.5000, 0.1965)  8 Tl 3.40-3.51, 4 Na 3.42
Tl (0.5000, 0.0000, 0.7002)  8 Tl 3.42-3.51, 4 Na 3.46-3.51
Tl (0.5000, 0.0000, 0.0996)  8 Tl 3.40-3.44, 2 Na 3.40, 2 Nd 3.44
Na (0.0000, 0.0000, 0.1967)  12 Tl 3.40-3.51
Na (0.0000, 0.0000, 0.4002)  12 Tl 3.42-3.46
Tl (0.5000, 0.5000, 0.0000)  4 Nd 3.42, 8 Tl 3.44
Tl (0.5000, 0.5000, 0.4006)  4 Na 3.42, 8 Tl 3.44-3.47
Tl (0.5000, 0.0000, 0.9004)  8 Tl 3.40-3.44, 2 Na 3.40, 2 Nd 3.44
Tl (0.5000, 0.0000, 0.2998)  8 Tl 3.42-3.51, 4 Na 3.46-3.51
Tl (0.5000, 0.5000, 0.5994)  4 Na 3.42, 8 Tl 3.44-3.47
Tl (0.0000, 0.5000, 0.0996)  8 Tl 3.40-3.44, 2 Na 3.40, 2 Nd 3.44

Properties
The calculated density is 9.512 g/cm3. The energy of formation is -2.38 kcal/mol of atoms.



4.
Nd3TlPd4 | GGA-PBE | optimized geometry

abc: 3.9287 6.7696 8.4807
angles: 113.49 103.39 90.00
Closest atoms and distances in Å follow each position.
Atoms (fractional coordinates):
Pd (0.3712, 0.1728, 0.7424)  1 Pd 2.69, 1 Tl 2.82, 2 Nd 2.98
Nd (0.0000, 0.5000, 0.0000)  8 Pd 3.07
Tl (0.5000, 0.0000, 0.0000)  4 Pd 2.82
Pd (0.3710, 0.5698, 0.7421)  1 Pd 2.69, 1 Tl 2.82, 2 Nd 2.98
Nd (0.1903, 0.1900, 0.3805)  6 Pd 2.98-3.04
Pd (0.6290, 0.4302, 0.2579)  1 Pd 2.69, 1 Tl 2.82, 2 Nd 2.98
Pd (0.6288, 0.8272, 0.2576)  1 Pd 2.69, 1 Tl 2.82, 2 Nd 2.98
Nd (0.8097, 0.8100, 0.6195)  6 Pd 2.98-3.04

Properties
The calculated density is 8.817 g/cm3. The energy of formation is -13.66 kcal/mol of atoms.



5.
BaGe2PbO | GGA-PBE | optimized geometry

abc: 4.8673 5.0364 4.8673
angles: 90.00 90.00 90.00
Closest atoms and distances in Å follow each position.
Atoms (fractional coordinates):
Ge (0.0000, 0.0000, 0.5000)  2 O 2.43
Pb (0.0000, 0.5000, 0.0000)  2 O 2.52
O (0.0000, 0.0000, 0.0000)  4 Ge 2.43, 2 Pb 2.52
Ba (0.5000, 0.5000, 0.5000)  4 Pb 3.44, 8 Ge 3.50
Ge (0.5000, 0.0000, 0.0000)  2 O 2.43

Properties
The calculated density is 7.040 g/cm3. The calculation puts the uncorrected formation energy at -0.265 eV/atom.



6.
NdCu4Si4 | GGA-PBE | optimized geometry

abc: 5.8705 5.8705 8.1410
angles: 90.00 90.00 90.00
Closest atoms and distances in Å follow each position.
Atoms (fractional coordinates):
Si (0.1997, 0.5000, 0.1963)  1 Si 2.35, 5 Cu 2.40-2.49
Si (0.5000, 0.8003, 0.8037)  1 Si 2.35, 5 Cu 2.40-2.49
Si (0.8003, 0.5000, 0.1963)  1 Si 2.35, 5 Cu 2.40-2.49
Nd (0.5000, 0.5000, 0.5000)  4 Si 3.04, 8 Cu 3.35
Nd (0.0000, 0.0000, 0.0000)  4 Si 3.04, 8 Cu 3.35
Cu (0.2584, 0.0000, 0.5971)  5 Si 2.40-2.49, 2 Cu 2.66
Cu (0.5000, 0.7584, 0.0971)  5 Si 2.40-2.49, 2 Cu 2.66
Cu (0.7416, 0.0000, 0.5971)  5 Si 2.40-2.49, 2 Cu 2.66
Si (0.5000, 0.1997, 0.8037)  1 Si 2.35, 5 Cu 2.40-2.49
Si (0.3003, 0.0000, 0.3037)  1 Si 2.35, 5 Cu 2.40-2.49
Cu (0.5000, 0.2416, 0.0971)  5 Si 2.40-2.49, 2 Cu 2.66
Cu (0.2416, 0.5000, 0.9029)  5 Si 2.40-2.49, 2 Cu 2.66
Cu (0.0000, 0.2584, 0.4029)  5 Si 2.40-2.49, 2 Cu 2.66
Si (0.0000, 0.3003, 0.6963)  1 Si 2.35, 5 Cu 2.40-2.49
Cu (0.7584, 0.5000, 0.9029)  5 Si 2.40-2.49, 2 Cu 2.66
Si (0.0000, 0.6997, 0.6963)  1 Si 2.35, 5 Cu 2.40-2.49
Si (0.6997, 0.0000, 0.3037)  1 Si 2.35, 5 Cu 2.40-2.49
Cu (0.0000, 0.7416, 0.4029)  5 Si 2.40-2.49, 2 Cu 2.66

Properties
The calculated density is 6.046 g/cm3. The calculation puts the uncorrected formation energy at -0.168 eV/atom.



7.
Y5AgHg4 | GGA-PBE | optimized geometry

abc: 3.7144 3.7144 18.5255
angles: 90.00 90.00 90.00
Closest atoms and distances in Å follow each position.
Atoms (fractional coordinates):
Y (0.5000, 0.5000, 0.2979)  8 Hg 3.21-3.22
Y (0.5000, 0.5000, 0.7021)  8 Hg 3.21-3.22
Hg (0.0000, 0.0000, 0.1978)  8 Y 3.21-3.23
Hg (0.0000, 0.0000, 0.8022)  8 Y 3.21-3.23
Y (0.5000, 0.5000, 0.5000)  8 Hg 3.23
Hg (0.0000, 0.0000, 0.3988)  8 Y 3.22-3.23
Y (0.5000, 0.5000, 0.0967)  4 Ag 3.18, 4 Hg 3.23
Hg (0.0000, 0.0000, 0.6012)  8 Y 3.22-3.23
Y (0.5000, 0.5000, 0.9033)  4 Ag 3.18, 4 Hg 3.23
Ag (0.0000, 0.0000, 0.0000)  8 Y 3.18

Properties
The calculated density is 8.802 g/cm3. The energy of formation is -10.92 kcal/mol of atoms.



8.
ScHg2P | GGA-PBE | optimized geometry

abc: 5.1957 5.1957 5.1957
angles: 128.68 128.68 75.53
Closest atoms and distances in Å follow each position.
Atoms (fractional coordinates):
P (0.5000, 0.5000, 0.0000)  8 Hg 3.05-3.18, 4 Sc 3.05
Hg (0.0000, 0.0000, 0.0000)  4 Hg 3.05, 4 Sc 3.05, 4 P 3.18
Sc (0.7500, 0.2500, 0.5000)  4 P 3.05, 8 Hg 3.05-3.18
Hg (0.2500, 0.7500, 0.5000)  4 P 3.05, 4 Hg 3.05, 4 Sc 3.18

Properties
The calculated density is 9.526 g/cm3. The energy of formation is -2.71 kcal/mol of atoms.



9.
La4MnCl | GGA-PBE | optimized geometry

abc: 6.4863 6.4863 6.4863
angles: 60.00 60.00 60.00
Closest atoms and distances in Å follow each position.
Atoms (fractional coordinates):
Cl (0.0000, 0.0000, 0.0000)  12 La 3.81, 4 Mn 3.97
La (0.8678, 0.3774, 0.3774)  6 La 3.18-3.31
Mn (0.7500, 0.7500, 0.7500)  12 La 3.80, 4 Cl 3.97
La (0.3774, 0.3774, 0.8678)  6 La 3.18-3.31
La (0.3774, 0.3774, 0.3774)  6 La 3.18-3.31
La (0.3774, 0.8678, 0.3774)  6 La 3.18-3.31

Properties
The calculated density is 5.559 g/cm3. The calculation puts the uncorrected formation energy at 0.400 eV/atom.



10.
Li2CdAuO4 | GGA-PBE | optimized geometry

abc: 6.1774 6.1774 6.7201
angles: 118.45 118.45 87.37
Closest atoms and distances in Å follow each position.
Atoms (fractional coordinates):
Au (0.5000, 0.5000, 0.5000)  4 O 2.02
Cd (0.0000, 0.5000, 0.5000)  6 O 2.27-2.42
O (0.7668, 0.2399, 0.0222)  1 Au 2.02, 2 Li 2.17-2.25
Li (0.0000, 0.0000, 0.5000)  4 O 2.04-2.25
Li (0.5000, 0.0000, 0.0000)  4 O 2.14-2.17
O (0.7399, 0.2668, 0.5222)  1 Au 2.02, 2 Li 2.17-2.25
Li (0.5000, 0.0000, 0.5000)  4 O 2.14-2.17
O (0.6623, 0.6779, 0.4006)  1 Au 2.02, 2 Li 2.04-2.14
O (0.3377, 0.3221, 0.5994)  1 Au 2.02, 2 Li 2.04-2.14
O (0.8221, 0.8377, 0.0994)  1 Au 2.02, 2 Li 2.04-2.14
Li (0.5000, 0.5000, 0.0000)  4 O 2.04-2.25
O (0.2332, 0.7601, 0.9778)  1 Au 2.02, 2 Li 2.17-2.25
Au (0.0000, 0.0000, 0.0000)  4 O 2.02
O (0.1779, 0.1623, 0.9006)  1 Au 2.02, 2 Li 2.04-2.14
O (0.2601, 0.7332, 0.4778)  1 Au 2.02, 2 Li 2.17-2.25
Cd (0.0000, 0.5000, 0.0000)  6 O 2.27-2.42

Properties
The calculated density is 6.674 g/cm3. The calculation puts the uncorrected formation energy at -0.931 eV/atom.



11.
Hg3W | GGA-PBE | optimized geometry

abc: 4.1373 5.5857 4.1373
angles: 68.26 90.00 111.74
Closest atoms and distances in Å follow each position.
Atoms (fractional coordinates):
Hg (0.7500, 0.5000, 0.7500)  4 W 2.93, 8 Hg 3.15
Hg (0.5000, 0.0000, 0.5000)  8 Hg 2.93-3.15, 4 W 3.15
Hg (0.0000, 0.0000, 0.0000)  8 Hg 2.93-3.15, 4 W 3.15
W (0.2500, 0.5000, 0.2500)  12 Hg 2.93-3.15

Properties
The calculated density is 16.017 g/cm3. The energy of formation is 22.29 kcal/mol of atoms. Its distance to the lowest polymorph of the same formula is 514 meV per atom.



12.
Nd2SnO | GGA-PBE | optimized geometry

abc: 3.2529 3.2529 7.9900
angles: 90.00 90.00 90.00
Closest atoms and distances in Å follow each position.
Atoms (fractional coordinates):
Sn (0.5000, 0.5000, 0.5000)  4 Sn 3.25, 8 Nd 3.33
O (0.5000, 0.5000, 0.0000)  8 Nd 2.79
Nd (0.0000, 0.0000, 0.8015)  4 O 2.79
Nd (0.0000, 0.0000, 0.1985)  4 O 2.79

Properties
The calculated density is 8.312 g/cm3. The calculation puts the uncorrected formation energy at -1.297 eV/atom. Its distance to the lowest polymorph of the same formula is 523 meV per atom.